# Rb3LaNp2O9 | Alexandria | GGA-PBE | optimized geometry
# Crystal system ... trigonal
# Formation energy (no corrections) ... -40.2 eV/f.u.
data_Rb3LaNp2O9
_chemical_formula_sum 'Rb3 La1 Np2 O9'
_symmetry_space_group_name_H-M 'P -3 m 1'
_symmetry_Int_Tables_number 164
_symmetry_space_group_name_Hall '-P 3 2"'
_cell_length_a 6.2320
_cell_length_b 6.2320
_cell_length_c 7.6498
_cell_angle_alpha 90.00
_cell_angle_beta 90.00
_cell_angle_gamma 120.00
loop_
_atom_site_label
_atom_site_type_symbol
_atom_site_fract_x
_atom_site_fract_y
_atom_site_fract_z
Rb1 Rb 0.0000 0.0000 0.0000
Rb2 Rb 0.3333 0.6667 0.6649
La1 La 0.0000 0.0000 0.5000
Np1 Np 0.3333 0.6667 0.1594
O1 O 0.0000 0.5000 0.0000
O2 O 0.1802 0.3603 0.3131

---

# PrYSc2As4 | Alexandria | GGA-PBE | optimized geometry
# Crystal system ... monoclinic
# Energy of formation ... -1.421 eV per atom
data_PrYSc2As4
_chemical_formula_sum 'Pr1 Y1 Sc2 As4'
_symmetry_space_group_name_H-M 'P 1 2/m 1'
_symmetry_Int_Tables_number 10
_cell_length_a 7.000
_cell_length_b 4.062
_cell_length_c 7.029
_cell_angle_alpha 90.00
_cell_angle_beta 109.57
_cell_angle_gamma 90.00
loop_
_symmetry_equiv_pos_as_xyz
'x,y,z'
'-x,-y,-z'
'-x,y,-z'
'x,-y,z'
loop_
_atom_site_label
_atom_site_type_symbol
_atom_site_fract_x
_atom_site_fract_y
_atom_site_fract_z
Pr1 Pr 0.000 0.000 0.000
Y1 Y 0.000 0.500 0.500
Sc1 Sc 0.500 0.000 0.500
Sc2 Sc 0.500 0.500 0.000
As1 As 0.269 0.000 0.751
As2 As 0.273 0.500 0.263

---

| no. | electronic total energy (eV per atom) |
| --- | --- |
| 1 | -7.905 |
| 2 | -6.734 |